# NpPd4Au2

Crystalline NpPd4Au2 at its relaxed geometry (PBE, the Alexandria database).

```
14
Lattice="-4.9921 -1.5297 -4.6494 4.4963 3.6438 -3.9481 2.8397 -5.6369 3.0185" Properties=species:S:1:pos:R:3 pbc="T T T"
Np 3.5450 -0.4636 -2.6121
Np 2.3342 -3.5158 -5.5768
Pd -1.9983 -4.3977 -2.0310
Pd 2.1104 -2.7118 -2.9539
Pd -0.2607 -2.2639 -1.6157
Pd -2.3530 -1.9445 -3.8452
Pd -0.1847 -3.6087 -4.3682
Pd 0.0078 0.1962 -6.6945
Pd 1.2722 0.9288 -2.2515
Pd 1.2933 -5.4632 0.7413
Au 0.3596 -0.8995 -4.1618
Au 2.0548 -2.9362 -0.1831
Au 0.7014 -5.0100 -1.9348
Au 1.5812 1.7883 -4.8809
```

mass density = 13.5 Mg/m³
SG = No. 1
E_form = -0.138 eV per atom

***

# NpPdAu2

Crystalline NpPdAu2 at its relaxed geometry (PBE, the Alexandria database).

```
8
Lattice="5.2026 -0.7705 0.0000 -2.2936 5.1578 0.0000 0.0000 0.0000 6.3970" Properties=species:S:1:pos:R:3 pbc="T T T"
Np -0.5740 1.2911 1.5992
Np 3.4831 3.0962 4.7977
Pd -1.7205 3.8692 1.5992
Pd 4.6295 0.5181 4.7977
Au 0.8820 3.4836 0.0014
Au 0.8820 3.4836 3.1971
Au 2.0270 0.9037 6.3956
Au 2.0270 0.9037 3.1999
```

mass density = 15.3 Mg/m³
SG = No. 69
E_form = -0.216 eV per atom

***

# NpPd6Au2

Crystalline NpPd6Au2 at its relaxed geometry (PBE, the Alexandria database).

```
9
Lattice="2.8215 0.0000 0.0000 0.0000 7.9434 0.0000 0.0000 -3.9717 6.8792" Properties=species:S:1:pos:R:3 pbc="T T T"
Np 0.0000 0.0000 0.0000
Pd 0.6139 -1.3159 2.2792
Pd 0.6139 2.6558 4.6000
Pd 2.2076 -2.6558 4.6000
Pd 2.2076 5.3116 0.0000
Pd 2.2076 1.3159 2.2792
Pd 0.6139 2.6318 0.0000
Au 1.4108 3.9717 2.2931
Au 1.4108 0.0000 4.5861
```

mass density = 13.7 Mg/m³
SG = No. 162
E_form = -0.120 eV per atom

***

# NpPd4Au2

Crystalline NpPd4Au2 at its relaxed geometry (PBE, the Alexandria database).

```
14
Lattice="-0.8312 -3.3645 4.5264 4.7609 1.8327 2.5442 -4.2071 5.9066 3.6179" Properties=species:S:1:pos:R:3 pbc="T T T"
Np 0.9131 0.7108 4.4397
Np -1.1905 3.6641 6.2487
Pd 2.8707 -1.1190 5.1652
Pd 1.0590 -0.4128 1.9054
Pd -1.0446 2.5405 3.7143
Pd 0.7672 1.8344 6.9741
Pd -1.4674 -0.2056 3.1676
Pd 1.3287 2.3930 2.1766
Pd -3.5709 2.7477 4.9766
Pd -0.7749 5.3463 3.9855
Au 3.5952 0.7493 2.9574
Au 0.3345 -2.2811 4.1132
Au 1.4917 3.7027 4.7663
Au -1.7690 0.6722 5.9221
```

mass density = 13.3 Mg/m³
SG = No. 65
E_form = -0.187 eV per atom

***

# Np2Pd9Au

Crystalline Np2Pd9Au at its relaxed geometry (PBE, the Alexandria database).

```
12
Lattice="-2.1991 -1.1827 3.2768 -0.0049 -3.8740 -1.4015 10.2608 -2.2150 6.0868" Properties=species:S:1:pos:R:3 pbc="T T T"
Np 3.3263 -0.7180 1.9732
Np 6.9345 -1.4969 4.1136
Pd -1.1020 -2.5283 0.9376
Pd 2.3237 -3.2678 2.9698
Pd 5.7332 -4.0038 4.9923
Pd 0.6030 -0.9589 2.6483
Pd 4.0309 -1.6988 4.6818
Pd 7.4587 -2.4388 6.7152
Pd 1.7001 -2.3045 0.3092
Pd 5.1280 -3.0445 2.3426
Pd 8.5558 -3.7844 4.3761
Au 0.0000 0.0000 0.0000
```

mass density = 13.1 Mg/m³
SG = No. 123
E_form = -0.330 eV per atom

***

# NpPd2Au

Crystalline NpPd2Au at its relaxed geometry (PBE, the Alexandria database).

```
4
Lattice="4.0395 0.0000 0.0000 0.0000 4.3294 0.0000 0.0000 0.0000 4.3294" Properties=species:S:1:pos:R:3 pbc="T T T"
Np 2.0197 2.1647 2.1647
Au 2.0197 0.0000 0.0000
Pd 0.0000 0.0000 2.1647
Pd 0.0000 2.1647 0.0000
```

mass density = 14.2 Mg/m³
SG = No. 123
E_form = -0.288 eV per atom